Entry 1:
# HfTc2IrPd, optimized geometry, DFT PBE-GGA
# **Raw total energy**: -0.5350 Ry/atom
# **Energy relative to the elements**: 161.0 kJ/mol of atoms
data_HfTc2IrPd
_chemical_formula_sum 'Hf1 Tc2 Ir1 Pd1'
_cell_length_a 4.620
_cell_length_b 4.810
_cell_length_c 4.620
_cell_angle_alpha 90.00
_cell_angle_beta 90.00
_cell_angle_gamma 90.00
_space_group_name_H-M_alt 'P 1'
_space_group_IT_number 1
loop_
_space_group_symop_operation_xyz
'x,y,z'
loop_
_atom_site_label
_atom_site_fract_x
_atom_site_fract_y
_atom_site_fract_z
Tc1 0.500 0.000 0.000
Tc2 0.000 0.000 0.500
Hf1 0.000 0.500 0.000
Ir1 0.500 0.500 0.500
Pd1 0.000 0.000 0.000



Entry 2:
# Ce2PaH8, optimized geometry, DFT PBE-GGA
# **Raw total energy**: -0.3542 Ry/atom
data_Ce2PaH8
_chemical_formula_sum 'Ce2 Pa1 H8'
_cell_length_a 3.577
_cell_length_b 5.955
_cell_length_c 6.400
_cell_angle_alpha 117.73
_cell_angle_beta 106.23
_cell_angle_gamma 90.00
_space_group_name_H-M_alt 'P 1'
_space_group_IT_number 1
loop_
_space_group_symop_operation_xyz
'x,y,z'
loop_
_atom_site_label
_atom_site_fract_x
_atom_site_fract_y
_atom_site_fract_z
H1 0.343 0.096 0.686
H2 0.846 0.846 0.691
H3 0.000 0.253 0.000
H4 0.154 0.154 0.309
Pa1 0.500 0.000 0.000
H5 0.343 0.590 0.686
Ce1 0.828 0.328 0.656
H6 0.657 0.904 0.314
H7 0.000 0.747 0.000
H8 0.657 0.410 0.314
Ce2 0.172 0.672 0.344



Entry 3:
# Sc2TlTe, optimized geometry, DFT PBE-GGA
# **Raw total energy**: -0.3662 Ry/atom
# **Energy above the most stable polymorph in this dataset**: 209 meV/atom
# **Formation energy without anion corrections**: -0.439 eV/atom
data_Sc2TlTe
_chemical_formula_sum 'Sc2 Tl1 Te1'
_cell_length_a 5.295
_cell_length_b 5.295
_cell_length_c 5.295
_cell_angle_alpha 125.33
_cell_angle_beta 125.33
_cell_angle_gamma 80.99
_space_group_name_H-M_alt 'P 1'
_space_group_IT_number 1
loop_
_space_group_symop_operation_xyz
'x,y,z'
loop_
_atom_site_label
_atom_site_fract_x
_atom_site_fract_y
_atom_site_fract_z
Te1 0.250 0.750 0.500
Sc1 0.500 0.500 0.000
Sc2 0.000 0.000 0.000
Tl1 0.750 0.250 0.500



Entry 4:
# Ca3AgSn, optimized geometry, DFT PBE-GGA
# **Raw total energy**: -0.1972 Ry/atom
# **Energy above the most stable polymorph in this dataset**: 323 meV/atom
# **Energy relative to the elements**: -10.8 kJ/mol of atoms
data_Ca3AgSn
_chemical_formula_sum 'Ca3 Ag1 Sn1'
_cell_length_a 5.596
_cell_length_b 5.596
_cell_length_c 5.596
_cell_angle_alpha 90.00
_cell_angle_beta 90.00
_cell_angle_gamma 90.00
_space_group_name_H-M_alt 'P 1'
_space_group_IT_number 1
loop_
_space_group_symop_operation_xyz
'x,y,z'
loop_
_atom_site_label
_atom_site_fract_x
_atom_site_fract_y
_atom_site_fract_z
Ca1 0.500 0.000 0.000
Ag1 0.000 0.000 0.000
Sn1 0.500 0.500 0.500
Ca2 0.000 0.000 0.500
Ca3 0.000 0.500 0.000



Entry 5:
# MoAs2Cl, optimized geometry, DFT PBE-GGA
# **Raw total energy**: -0.3672 Ry/atom
# **Energy above the most stable polymorph in this dataset**: 639 meV/atom
# **Formation energy without anion corrections**: 0.498 eV/atom
data_MoAs2Cl
_chemical_formula_sum 'Mo1 As2 Cl1'
_cell_length_a 5.096
_cell_length_b 5.096
_cell_length_c 3.238
_cell_angle_alpha 90.00
_cell_angle_beta 90.00
_cell_angle_gamma 121.33
_space_group_name_H-M_alt 'P 1'
_space_group_IT_number 1
loop_
_space_group_symop_operation_xyz
'x,y,z'
loop_
_atom_site_label
_atom_site_fract_x
_atom_site_fract_y
_atom_site_fract_z
Cl1 0.500 0.000 0.500
As1 0.500 0.500 0.000
As2 0.000 0.000 0.000
Mo1 0.000 0.500 0.500



Entry 6:
# ThSnRuN, optimized geometry, DFT PBE-GGA
# **Raw total energy**: -0.5911 Ry/atom
# **Formation energy without anion corrections**: -0.786 eV/atom
data_ThSnRuN
_chemical_formula_sum 'Th2 Sn2 Ru2 N2'
_cell_length_a 4.199
_cell_length_b 4.199
_cell_length_c 9.151
_cell_angle_alpha 90.00
_cell_angle_beta 90.00
_cell_angle_gamma 90.00
_space_group_name_H-M_alt 'P 1'
_space_group_IT_number 1
loop_
_space_group_symop_operation_xyz
'x,y,z'
loop_
_atom_site_label
_atom_site_fract_x
_atom_site_fract_y
_atom_site_fract_z
Ru1 0.500 0.500 0.500
N1 0.000 0.000 0.000
Sn1 0.500 0.000 0.675
N2 0.500 0.500 0.000
Sn2 0.000 0.500 0.325
Th1 0.500 0.000 0.120
Ru2 0.000 0.000 0.500
Th2 0.000 0.500 0.880



Entry 7:
# SiRuSe2N, optimized geometry, DFT PBE-GGA
# **Raw total energy**: -0.4013 Ry/atom
# **Energy above the most stable polymorph in this dataset**: 0 meV/atom
# **Formation energy without anion corrections**: 0.539 eV/atom
data_SiRuSe2N
_chemical_formula_sum 'Si1 Ru1 Se2 N1'
_cell_length_a 5.078
_cell_length_b 5.078
_cell_length_c 3.645
_cell_angle_alpha 90.00
_cell_angle_beta 90.00
_cell_angle_gamma 90.00
_space_group_name_H-M_alt 'P 1'
_space_group_IT_number 1
loop_
_space_group_symop_operation_xyz
'x,y,z'
loop_
_atom_site_label
_atom_site_fract_x
_atom_site_fract_y
_atom_site_fract_z
Ru1 0.000 0.000 0.000
N1 0.000 0.000 0.500
Se1 0.000 0.500 0.000
Se2 0.500 0.000 0.000
Si1 0.500 0.500 0.500



Entry 8:
# Li2Ag7, optimized geometry, DFT PBE-GGA
# **Raw total energy**: -0.2005 Ry/atom
# **Energy relative to the elements**: -8.2 kJ/mol of atoms
data_Li2Ag7
_chemical_formula_sum 'Li2 Ag7'
_cell_length_a 2.909
_cell_length_b 7.844
_cell_length_c 7.844
_cell_angle_alpha 120.00
_cell_angle_beta 90.00
_cell_angle_gamma 90.00
_space_group_name_H-M_alt 'P 1'
_space_group_IT_number 1
loop_
_space_group_symop_operation_xyz
'x,y,z'
loop_
_atom_site_label
_atom_site_fract_x
_atom_site_fract_y
_atom_site_fract_z
Ag1 0.500 0.363 0.363
Ag2 0.000 0.684 0.684
Ag3 0.500 0.000 0.000
Li1 0.000 0.333 0.667
Ag4 0.000 0.316 0.000
Ag5 0.500 0.637 0.000
Li2 0.000 0.667 0.333
Ag6 0.500 0.000 0.637
Ag7 0.000 0.000 0.316



Entry 9:
# CrFe4Mo, optimized geometry, DFT PBE-GGA
# **Raw total energy**: -0.6586 Ry/atom
# **Energy relative to the elements**: 8.7 kJ/mol of atoms
data_CrFe4Mo
_chemical_formula_sum 'Cr1 Fe4 Mo1'
_cell_length_a 4.667
_cell_length_b 4.667
_cell_length_c 4.667
_cell_angle_alpha 60.00
_cell_angle_beta 60.00
_cell_angle_gamma 60.00
_space_group_name_H-M_alt 'P 1'
_space_group_IT_number 1
loop_
_space_group_symop_operation_xyz
'x,y,z'
loop_
_atom_site_label
_atom_site_fract_x
_atom_site_fract_y
_atom_site_fract_z
Fe1 0.124 0.625 0.625
Fe2 0.625 0.124 0.625
Fe3 0.625 0.625 0.625
Cr1 0.000 0.000 0.000
Mo1 0.250 0.250 0.250
Fe4 0.625 0.625 0.124



Entry 10:
# Zn5Hg12I3, optimized geometry, DFT PBE-GGA
# **Raw total energy**: -0.0529 Ry/atom
# **Formation energy without anion corrections**: 0.013 eV/atom
data_Zn5Hg12I3
_chemical_formula_sum 'Zn20 Hg48 I12'
_cell_length_a 15.179
_cell_length_b 15.179
_cell_length_c 15.179
_cell_angle_alpha 109.47
_cell_angle_beta 109.47
_cell_angle_gamma 109.47
_space_group_name_H-M_alt 'P 1'
_space_group_IT_number 1
loop_
_space_group_symop_operation_xyz
'x,y,z'
loop_
_atom_site_label
_atom_site_fract_x
_atom_site_fract_y
_atom_site_fract_z
Hg1 0.803 0.480 0.397
Hg2 0.897 0.303 0.480
Hg3 0.303 0.897 0.980
Hg4 0.803 0.323 0.905
Hg5 0.677 0.197 0.595
Hg6 0.303 0.405 0.823
I1 0.875 0.125 0.250
Hg7 0.323 0.803 0.405
I2 0.750 0.875 0.625
Zn1 0.875 0.250 0.625
Hg8 0.582 0.980 0.677
Hg9 0.095 0.918 0.397
Hg10 0.595 0.897 0.418
Zn2 0.500 0.000 0.500
Hg11 0.197 0.677 0.095
Hg12 0.418 0.020 0.323
Hg13 0.603 0.020 0.197
Zn3 0.750 0.125 0.875
Hg14 0.397 0.980 0.803
Zn4 0.625 0.750 0.875
Hg15 0.823 0.918 0.020
Hg16 0.397 0.418 0.095
Zn5 0.625 0.875 0.250
Hg17 0.980 0.397 0.303
Zn6 0.375 0.125 0.750
Zn7 0.000 0.500 0.000
I3 0.125 0.250 0.875
I4 0.625 0.250 0.375
Hg18 0.677 0.480 0.582
Hg19 0.020 0.603 0.697
Hg20 0.823 0.905 0.303
Hg21 0.697 0.103 0.020
Hg22 0.905 0.082 0.603
I5 0.875 0.750 0.125
I6 0.375 0.750 0.625
Zn8 0.125 0.375 0.250
Hg23 0.897 0.595 0.918
Zn9 0.500 0.500 0.000
Zn10 0.125 0.750 0.375
Hg24 0.405 0.103 0.582
I7 0.250 0.125 0.375
Hg25 0.103 0.697 0.520
Hg26 0.480 0.803 0.897
Hg27 0.103 0.405 0.082
Zn11 0.000 0.000 0.000
Zn12 0.000 0.500 0.500
Hg28 0.520 0.323 0.918
Zn13 0.250 0.375 0.625
Hg29 0.603 0.582 0.905
Zn14 0.500 0.000 0.000
Hg30 0.905 0.823 0.803
Hg31 0.082 0.177 0.480
Zn15 0.375 0.250 0.125
Zn16 0.250 0.875 0.125
Hg32 0.418 0.397 0.595
Zn17 0.875 0.625 0.750
Zn18 0.000 0.000 0.500
I8 0.375 0.625 0.250
Hg33 0.095 0.177 0.197
Hg34 0.020 0.418 0.823
Hg35 0.405 0.303 0.323
I9 0.625 0.375 0.750
Hg36 0.918 0.095 0.897
Hg37 0.520 0.197 0.103
Hg38 0.918 0.823 0.520
I10 0.125 0.875 0.750
Hg39 0.197 0.520 0.603
I11 0.750 0.375 0.125
Hg40 0.323 0.520 0.418
Zn19 0.750 0.625 0.375
Hg41 0.177 0.082 0.980
Hg42 0.177 0.095 0.697
Hg43 0.595 0.697 0.677
Hg44 0.582 0.603 0.405
I12 0.250 0.625 0.875
Hg45 0.980 0.582 0.177
Hg46 0.082 0.905 0.103
Hg47 0.697 0.595 0.177
Hg48 0.480 0.677 0.082
Zn20 0.500 0.500 0.500